1.
The following is a DFT calculation (PBE) of a relaxed structure of Sr6CuAu3.

abc: 11.812 4.508 14.366
angles: 90.00 111.72 90.00
Fractional positions:
Sr1 0.018 0.250 0.390
Sr2 0.065 0.250 0.906
Sr3 0.254 0.750 0.326
Sr4 0.340 0.750 0.801
Sr5 0.344 0.750 0.099
Sr6 0.397 0.250 0.584
Sr7 0.603 0.750 0.416
Sr8 0.656 0.250 0.901
Sr9 0.660 0.250 0.199
Sr10 0.746 0.250 0.674
Sr11 0.935 0.750 0.094
Sr12 0.982 0.750 0.610
Cu1 0.411 0.250 0.272
Cu2 0.589 0.750 0.728
Au1 0.163 0.250 0.154
Au2 0.194 0.750 0.529
Au3 0.408 0.250 0.967
Au4 0.592 0.750 0.033
Au5 0.806 0.250 0.471
Au6 0.837 0.750 0.846

## Properties
symmetry = P2_1/m (11)



2.
The following is a DFT calculation (PBE) of a relaxed structure of Sr2CuAu.

abc: 3.782 3.782 8.435
angles: 90.00 90.00 90.00
Fractional positions:
Sr1 0.000 0.000 0.000
Sr2 0.500 0.500 0.421
Cu1 0.500 0.500 0.779
Au1 0.000 0.000 0.636

## Properties
symmetry = P4mm (99)



3.
The following is a DFT calculation (PBE) of a relaxed structure of Sr3CuAu3.

abc: 6.187 6.187 16.284
angles: 108.67 108.67 41.89
Fractional positions:
Sr1 0.028 0.028 0.269
Sr2 0.176 0.176 0.579
Sr3 0.333 0.333 0.901
Sr4 0.667 0.667 0.099
Sr5 0.824 0.824 0.421
Sr6 0.972 0.972 0.731
Cu1 0.382 0.382 0.124
Cu2 0.618 0.618 0.876
Au1 0.068 0.068 0.941
Au2 0.312 0.312 0.263
Au3 0.459 0.459 0.578
Au4 0.541 0.541 0.422
Au5 0.688 0.688 0.737
Au6 0.932 0.932 0.059

## Properties
symmetry = C2/m (12)



4.
The following is a DFT calculation (PBE) of a relaxed structure of Sr2CuAu.

abc: 5.398 5.398 3.833
angles: 90.00 90.00 90.00
Fractional positions:
Sr1 0.000 0.500 0.000
Sr2 0.500 0.000 0.000
Cu1 0.000 0.000 0.500
Au1 0.500 0.500 0.500

## Properties
symmetry = P4/mmm (123)



5.
The following is a DFT calculation (PBE) of a relaxed structure of SrCuAu2.

abc: 4.516 4.516 15.894
angles: 90.00 90.00 120.00
Fractional positions:
Sr1 0.000 0.000 0.000
Sr2 0.333 0.667 0.667
Sr3 0.667 0.333 0.333
Cu1 0.000 0.000 0.500
Cu2 0.333 0.667 0.167
Cu3 0.667 0.333 0.833
Au1 0.000 0.000 0.206
Au2 0.000 0.000 0.794
Au3 0.333 0.667 0.460
Au4 0.333 0.667 0.873
Au5 0.667 0.333 0.127
Au6 0.667 0.333 0.540

## Properties
energy above the lowest structure with this stoichiometry = 0 meV/atom
symmetry = R-3m (166)



6.
The following is a DFT calculation (PBE) of a relaxed structure of SrCuAu4.

abc: 5.622 5.622 5.622
angles: 60.00 60.00 60.00
Fractional positions:
Sr1 0.000 0.000 0.000
Cu1 0.250 0.250 0.250
Au1 0.127 0.624 0.624
Au2 0.624 0.127 0.624
Au3 0.624 0.624 0.127
Au4 0.624 0.624 0.624

## Properties
symmetry = F-43m (216)



7.
The following is a DFT calculation (PBE) of a relaxed structure of Sr2CuAu.

abc: 4.486 4.486 11.422
angles: 90.00 90.00 90.00
Fractional positions:
Sr1 0.000 0.000 0.000
Sr2 0.000 0.500 0.250
Sr3 0.500 0.000 0.750
Sr4 0.500 0.500 0.500
Cu1 0.000 0.000 0.500
Cu2 0.500 0.500 0.000
Au1 0.000 0.500 0.750
Au2 0.500 0.000 0.250

## Properties
symmetry = I-4m2 (119)



8.
The following is a DFT calculation (PBE) of a relaxed structure of Sr2Cu5Au5.

abc: 4.348 5.387 9.822
angles: 90.00 90.00 90.00
Fractional positions:
Sr1 0.000 0.000 0.000
Sr2 0.000 0.500 0.500
Cu1 0.500 0.000 0.500
Cu2 0.500 0.248 0.259
Cu3 0.500 0.248 0.741
Cu4 0.500 0.752 0.259
Cu5 0.500 0.752 0.741
Au1 0.000 0.000 0.334
Au2 0.000 0.000 0.666
Au3 0.000 0.500 0.184
Au4 0.000 0.500 0.816
Au5 0.500 0.500 0.000

## Properties
symmetry = Pmmm (47)



9.
The following is a DFT calculation (PBE) of a relaxed structure of Sr2CuAu.

abc: 7.393 7.393 7.393
angles: 90.00 90.00 90.00
Fractional positions:
Sr1 0.000 0.000 0.000
Sr2 0.000 0.500 0.500
Sr3 0.250 0.250 0.250
Sr4 0.250 0.750 0.750
Sr5 0.500 0.000 0.500
Sr6 0.500 0.500 0.000
Sr7 0.750 0.250 0.750
Sr8 0.750 0.750 0.250
Cu1 0.000 0.000 0.500
Cu2 0.000 0.500 0.000
Cu3 0.500 0.000 0.000
Cu4 0.500 0.500 0.500
Au1 0.250 0.250 0.750
Au2 0.250 0.750 0.250
Au3 0.750 0.250 0.250
Au4 0.750 0.750 0.750

## Properties
symmetry = F-43m (216)



10.
The following is a DFT calculation (PBE) of a relaxed structure of Sr8CuAu2.

abc: 8.367 8.367 7.478
angles: 104.30 104.30 71.47
Fractional positions:
Sr1 0.078 0.078 0.272
Sr2 0.145 0.558 0.249
Sr3 0.366 0.366 0.757
Sr4 0.442 0.855 0.751
Sr5 0.558 0.145 0.249
Sr6 0.634 0.634 0.243
Sr7 0.855 0.442 0.751
Sr8 0.922 0.922 0.728
Cu1 0.500 0.500 0.500
Au1 0.186 0.186 0.949
Au2 0.814 0.814 0.051

## Properties
symmetry = C2/m (12)



11.
The following is a DFT calculation (PBE) of a relaxed structure of SrCuAu2.

abc: 4.594 4.594 4.115
angles: 90.00 90.00 90.00
Fractional positions:
Sr1 0.000 0.000 0.000
Cu1 0.500 0.500 0.000
Au1 0.000 0.500 0.500
Au2 0.500 0.000 0.500

## Properties
energy above the lowest structure with this stoichiometry = 270 meV/atom
symmetry = P4/mmm (123)



12.
The following is a DFT calculation (PBE) of a relaxed structure of SrCuAu2.

abc: 5.080 5.080 17.274
angles: 90.00 90.00 90.00
Fractional positions:
Sr1 0.000 0.000 0.000
Sr2 0.000 0.500 0.250
Sr3 0.500 0.000 0.750
Sr4 0.500 0.500 0.500
Cu1 0.000 0.000 0.500
Cu2 0.000 0.500 0.750
Cu3 0.500 0.000 0.250
Cu4 0.500 0.500 0.000
Au1 0.080 0.250 0.625
Au2 0.250 0.580 0.875
Au3 0.250 0.920 0.375
Au4 0.420 0.250 0.125
Au5 0.580 0.750 0.125
Au6 0.750 0.080 0.375
Au7 0.750 0.420 0.875
Au8 0.920 0.750 0.625

## Properties
energy above the lowest structure with this stoichiometry = 204 meV/atom
symmetry = I-42d (122)



13.
The following is a DFT calculation (PBE) of a relaxed structure of SrCuAu3.

abc: 4.930 4.930 4.930
angles: 90.00 90.00 90.00
Fractional positions:
Sr1 0.000 0.000 0.000
Cu1 0.500 0.500 0.500
Au1 0.000 0.500 0.500
Au2 0.500 0.000 0.500
Au3 0.500 0.500 0.000

## Properties
energy above the lowest structure with this stoichiometry = 119 meV/atom
symmetry = Pm-3m (221)



14.
The following is a DFT calculation (PBE) of a relaxed structure of Sr2CuAu.

abc: 4.541 4.421 11.758
angles: 90.00 90.00 90.00
Fractional positions:
Sr1 0.000 0.000 0.000
Sr2 0.000 0.500 0.500
Sr3 0.500 0.000 0.280
Sr4 0.500 0.500 0.780
Cu1 0.000 0.000 0.703
Cu2 0.000 0.500 0.203
Au1 0.500 0.000 0.574
Au2 0.500 0.500 0.074

## Properties
symmetry = Amm2 (38)



15.
The following is a DFT calculation (PBE) of a relaxed structure of Sr2CuAu.

abc: 7.752 4.511 7.828
angles: 90.00 109.63 90.00
Fractional positions:
Sr1 0.249 0.000 0.248
Sr2 0.251 0.500 0.752
Sr3 0.749 0.500 0.248
Sr4 0.751 0.000 0.752
Cu1 0.000 0.500 0.000
Cu2 0.500 0.000 0.000
Au1 0.000 0.000 0.500
Au2 0.500 0.500 0.500

## Properties
symmetry = C2/m (12)



16.
The following is a DFT calculation (PBE) of a relaxed structure of Sr2Cu5Au12.

abc: 7.175 7.175 7.175
angles: 82.04 82.04 82.04
Fractional positions:
Sr1 0.155 0.155 0.155
Sr2 0.845 0.845 0.845
Cu1 0.000 0.500 0.500
Cu2 0.409 0.409 0.409
Cu3 0.500 0.000 0.500
Cu4 0.500 0.500 0.000
Cu5 0.591 0.591 0.591
Au1 0.165 0.165 0.631
Au2 0.165 0.631 0.165
Au3 0.200 0.500 0.800
Au4 0.200 0.800 0.500
Au5 0.369 0.835 0.835
Au6 0.500 0.200 0.800
Au7 0.500 0.800 0.200
Au8 0.631 0.165 0.165
Au9 0.800 0.200 0.500
Au10 0.800 0.500 0.200
Au11 0.835 0.369 0.835
Au12 0.835 0.835 0.369

## Properties
symmetry = R-3m (166)



17.
The following is a DFT calculation (PBE) of a relaxed structure of Sr2CuAu3.

abc: 9.348 9.040 6.179
angles: 73.08 67.69 39.22
Fractional positions:
Sr1 0.247 0.753 0.753
Sr2 0.250 0.250 0.250
Sr3 0.750 0.750 0.750
Sr4 0.753 0.247 0.247
Cu1 0.333 0.333 0.667
Cu2 0.667 0.667 0.333
Au1 0.174 0.174 0.826
Au2 0.175 0.651 0.349
Au3 0.349 0.825 0.175
Au4 0.651 0.175 0.825
Au5 0.825 0.349 0.651
Au6 0.826 0.826 0.174

## Properties
symmetry = Fmmm (69)



18.
The following is a DFT calculation (PBE) of a relaxed structure of Sr2CuAu.

abc: 4.495 4.506 6.379
angles: 90.00 90.00 90.00
Fractional positions:
Sr1 0.000 0.000 0.000
Sr2 0.500 0.500 0.499
Cu1 0.000 0.000 0.500
Au1 0.500 0.500 0.999

## Properties
symmetry = Pmm2 (25)



19.
The following is a DFT calculation (PBE) of a relaxed structure of Sr2Cu3Au.

abc: 8.809 8.700 6.091
angles: 70.61 68.68 40.71
Fractional positions:
Sr1 0.248 0.752 0.752
Sr2 0.250 0.250 0.250
Sr3 0.750 0.750 0.750
Sr4 0.752 0.248 0.248
Cu1 0.177 0.661 0.339
Cu2 0.339 0.339 0.661
Cu3 0.339 0.823 0.177
Cu4 0.661 0.177 0.823
Cu5 0.661 0.661 0.339
Cu6 0.823 0.339 0.661
Au1 0.167 0.167 0.833
Au2 0.833 0.833 0.167

## Properties
symmetry = Fmmm (69)



20.
The following is a DFT calculation (PBE) of a relaxed structure of SrCu2Au8.

abc: 5.553 5.553 8.665
angles: 90.00 90.00 90.00
Fractional positions:
Sr1 0.000 0.000 0.000
Cu1 0.000 0.500 0.500
Cu2 0.500 0.000 0.500
Au1 0.251 0.251 0.296
Au2 0.251 0.251 0.704
Au3 0.251 0.749 0.296
Au4 0.251 0.749 0.704
Au5 0.749 0.251 0.296
Au6 0.749 0.251 0.704
Au7 0.749 0.749 0.296
Au8 0.749 0.749 0.704

## Properties
symmetry = P4/mmm (123)



Volume / A^3/atom: 35.5 30.2 27.9 27.9 23.4 20.9 28.7 19.2 25.3 43.0 21.7 27.9 24.0 29.5 32.2 18.9 25.5 32.3 23.5 24.3
ΔE_f / eV/f.u.: -4.62 -0.80 -4.46 -1.41 -1.84 -1.64 -0.73 -3.98 -0.15 -3.30 -0.76 -1.02 -1.40 -1.76 -1.13 -5.02 -3.68 -1.13 -1.66 -0.49